# RbPtCl (GGA-PBE, optimized geometry)
data_RbPtCl
_chemical_formula_sum 'Rb1 Pt1 Cl1'
_space_group_name_H-M_alt 'P -6 m 2'
_space_group_IT_number 187
_space_group_name_Hall 'P -6 2'
_cell_length_a 4.3513
_cell_length_b 4.3513
_cell_length_c 4.9725
_cell_angle_alpha 90.00
_cell_angle_beta 90.00
_cell_angle_gamma 120.00
loop_
_atom_site_label
_atom_site_type_symbol
_atom_site_fract_x
_atom_site_fract_y
_atom_site_fract_z
_atom_site_occupancy
Rb1 Rb 0.0000 0.0000 0.0000 1
Pt1 Pt 0.6667 0.3333 0.5000 1
Cl1 Cl 0.3333 0.6667 0.5000 1
# Magnetic moment = 0.00 Bohr magnetons per cell
# Uncorrected energy = -3.253 eV per atom
# Uncorrected formation energy = -0.30 eV/atom
# Offset from the most stable computed form = 0.4719 eV per atom

# Ba2Ga3PdAu12 (GGA-PBE, optimized geometry)
data_Ba2Ga3PdAu12
_chemical_formula_sum 'Ba6 Ga9 Pd3 Au36'
_space_group_name_H-M_alt 'R -3 m'
_space_group_IT_number 166
_space_group_name_Hall '-R 3 2"'
_cell_length_a 8.9912
_cell_length_b 8.9912
_cell_length_c 20.1573
_cell_angle_alpha 90.00
_cell_angle_beta 90.00
_cell_angle_gamma 120.00
loop_
_atom_site_label
_atom_site_type_symbol
_atom_site_fract_x
_atom_site_fract_y
_atom_site_fract_z
_atom_site_occupancy
Ba1 Ba 0.0000 0.0000 0.1173 1
Ga1 Ga 0.0000 0.5000 0.0000 1
Pd1 Pd 0.0000 0.0000 0.5000 1
Au1 Au 0.0138 0.5069 0.1241 1
Au2 Au 0.0161 0.5080 0.3496 1
# Magnetic moment = 0.00 Bohr magnetons per cell
# Uncorrected energy = -3.299 eV per atom
# Calculated formation energy = -0.108 eV per atom

# MgZnRh2 (GGA-PBE, optimized geometry)
data_MgZnRh2
_chemical_formula_sum 'Mg1 Zn1 Rh2'
_space_group_name_H-M_alt 'P 4 m m'
_space_group_IT_number 99
_cell_length_a 3.134
_cell_length_b 3.134
_cell_length_c 6.089
_cell_angle_alpha 90.00
_cell_angle_beta 90.00
_cell_angle_gamma 90.00
loop_
_space_group_symop_operation_xyz
'x,y,z'
'-y,x,z'
'-x,-y,z'
'y,-x,z'
'-x,y,z'
'y,x,z'
'x,-y,z'
'-y,-x,z'
loop_
_atom_site_label
_atom_site_type_symbol
_atom_site_fract_x
_atom_site_fract_y
_atom_site_fract_z
_atom_site_occupancy
Mg1 Mg 0.000 0.000 0.000 1
Zn1 Zn 0.500 0.500 0.722 1
Rh1 Rh 0.000 0.000 0.512 1
Rh2 Rh 0.500 0.500 0.237 1
# Magnetic moment = 0.36 Bohr magnetons per cell
# Uncorrected energy = -4.607 eV per atom
# Calculated formation energy = -0.214 eV per atom

# MgCu2W (GGA-PBE, optimized geometry)
data_MgCu2W
_chemical_formula_sum 'Mg4 Cu8 W4'
_space_group_name_H-M_alt 'I -4 2 d'
_space_group_IT_number 122
_space_group_name_Hall 'I -4 2bw'
_cell_length_a 3.805
_cell_length_b 3.805
_cell_length_c 17.710
_cell_angle_alpha 90.00
_cell_angle_beta 90.00
_cell_angle_gamma 90.00
loop_
_atom_site_label
_atom_site_type_symbol
_atom_site_fract_x
_atom_site_fract_y
_atom_site_fract_z
_atom_site_occupancy
Mg1 Mg 0.000 0.000 0.000 1
Cu1 Cu 0.244 0.250 0.625 1
W1 W 0.000 0.000 0.500 1
# Magnetic moment = 0.00 Bohr magnetons per cell
# Uncorrected energy = -4.722 eV per atom
# Calculated formation energy = 0.963 eV per atom

# PmCd2SiPd2 (GGA-PBE, optimized geometry)
data_PmCd2SiPd2
_chemical_formula_sum 'Pm2 Cd4 Si2 Pd4'
_space_group_name_H-M_alt 'I 4/m m m'
_space_group_IT_number 139
_space_group_name_Hall '-I 4 2'
_cell_length_a 5.204
_cell_length_b 5.204
_cell_length_c 10.648
_cell_angle_alpha 90.00
_cell_angle_beta 90.00
_cell_angle_gamma 90.00
loop_
_atom_site_label
_atom_site_type_symbol
_atom_site_fract_x
_atom_site_fract_y
_atom_site_fract_z
_atom_site_occupancy
Pm1 Pm 0.000 0.000 0.000 1
Cd1 Cd 0.000 0.500 0.250 1
Si1 Si 0.000 0.000 0.500 1
Pd1 Pd 0.000 0.000 0.289 1
# Magnetic moment = 0.00 Bohr magnetons per cell
# Uncorrected energy = -3.898 eV per atom
# Uncorrected formation energy = -0.17 eV/atom

# LiHf2C (GGA-PBE, optimized geometry)
data_LiHf2C
_chemical_formula_sum 'Li3 Hf6 C3'
_space_group_name_H-M_alt 'R -3 m'
_space_group_IT_number 166
_space_group_name_Hall '-R 3 2"'
_cell_length_a 3.2340
_cell_length_b 3.2340
_cell_length_c 25.4902
_cell_angle_alpha 90.00
_cell_angle_beta 90.00
_cell_angle_gamma 120.00
loop_
_atom_site_label
_atom_site_type_symbol
_atom_site_fract_x
_atom_site_fract_y
_atom_site_fract_z
_atom_site_occupancy
Li1 Li 0.0000 0.0000 0.0000 1
Hf1 Hf 0.0000 0.0000 0.1178 1
C1 C 0.0000 0.0000 0.5000 1
# Magnetic moment = 0.00 Bohr magnetons per cell
# Uncorrected energy = -8.025 eV per atom
# Calculated formation energy = -0.264 eV per atom

# DyHoHg4 (GGA-PBE, optimized geometry)
data_DyHoHg4
_chemical_formula_sum 'Dy2 Ho2 Hg8'
_space_group_name_H-M_alt 'C 1 2/m 1'
_space_group_IT_number 12
_cell_length_a 11.855
_cell_length_b 3.611
_cell_length_c 7.275
_cell_angle_alpha 90.00
_cell_angle_beta 107.91
_cell_angle_gamma 90.00
loop_
_space_group_symop_operation_xyz
'x,y,z'
'-x,-y,-z'
'-x,y,-z'
'x,-y,z'
'x+1/2,y+1/2,z'
'-x+1/2,-y+1/2,-z'
'-x+1/2,y+1/2,-z'
'x+1/2,-y+1/2,z'
loop_
_atom_site_label
_atom_site_type_symbol
_atom_site_fract_x
_atom_site_fract_y
_atom_site_fract_z
_atom_site_occupancy
Dy1 Dy 0.000 0.000 0.000 1
Ho1 Ho 0.000 0.000 0.500 1
Hg1 Hg 0.167 0.500 0.335 1
Hg2 Hg 0.167 0.500 0.833 1
# Magnetic moment = 0.33 Bohr magnetons per cell
# Uncorrected energy = -2.070 eV per atom
# Offset from the most stable computed form = 0.0382 eV per atom
# Calculated formation energy = -0.339 eV per atom

# Pr14TmTh (GGA-PBE, optimized geometry)
data_Pr14TmTh
_chemical_formula_sum 'Pr14 Tm1 Th1'
_space_group_name_H-M_alt 'P 4/m m m'
_space_group_IT_number 123
_space_group_name_Hall '-P 4 2'
_cell_length_a 7.366
_cell_length_b 7.366
_cell_length_c 10.497
_cell_angle_alpha 90.00
_cell_angle_beta 90.00
_cell_angle_gamma 90.00
loop_
_atom_site_label
_atom_site_type_symbol
_atom_site_fract_x
_atom_site_fract_y
_atom_site_fract_z
_atom_site_occupancy
Pr1 Pr 0.000 0.000 0.000 1
Pr2 Pr 0.000 0.500 0.000 1
Pr3 Pr 0.000 0.500 0.500 1
Pr4 Pr 0.248 0.248 0.255 1
Pr5 Pr 0.500 0.500 0.000 1
Tm1 Tm 0.500 0.500 0.500 1
Th1 Th 0.000 0.000 0.500 1
# Magnetic moment = 0.00 Bohr magnetons per cell
# Uncorrected energy = -4.901 eV per atom
# Calculated formation energy = 0.024 eV per atom

# Re2OsSe (GGA-PBE, optimized geometry)
data_Re2OsSe
_chemical_formula_sum 'Re4 Os2 Se2'
_space_group_name_H-M_alt 'C 1 2/m 1'
_space_group_IT_number 12
_cell_length_a 5.231
_cell_length_b 8.217
_cell_length_c 2.869
_cell_angle_alpha 90.00
_cell_angle_beta 95.14
_cell_angle_gamma 90.00
loop_
_space_group_symop_operation_xyz
'x,y,z'
'-x,-y,-z'
'-x,y,-z'
'x,-y,z'
'x+1/2,y+1/2,z'
'-x+1/2,-y+1/2,-z'
'-x+1/2,y+1/2,-z'
'x+1/2,-y+1/2,z'
loop_
_atom_site_label
_atom_site_type_symbol
_atom_site_fract_x
_atom_site_fract_y
_atom_site_fract_z
_atom_site_occupancy
Re1 Re 0.250 0.250 0.000 1
Os1 Os 0.000 0.000 0.500 1
Se1 Se 0.000 0.500 0.500 1
# Magnetic moment = 0.00 Bohr magnetons per cell
# Uncorrected energy = -9.130 eV per atom
# Uncorrected formation energy = 0.77 eV/atom

# Be3CdN (GGA-PBE, optimized geometry)
data_Be3CdN
_chemical_formula_sum 'Be3 Cd1 N1'
_space_group_name_H-M_alt 'P m -3 m'
_space_group_IT_number 221
_space_group_name_Hall '-P 4 2 3'
_cell_length_a 4.500
_cell_length_b 4.500
_cell_length_c 4.500
_cell_angle_alpha 90.00
_cell_angle_beta 90.00
_cell_angle_gamma 90.00
loop_
_atom_site_label
_atom_site_type_symbol
_atom_site_fract_x
_atom_site_fract_y
_atom_site_fract_z
_atom_site_occupancy
Be1 Be 0.000 0.000 0.500 1
Cd1 Cd 0.000 0.000 0.000 1
N1 N 0.500 0.500 0.500 1
# Magnetic moment = 2.75 Bohr magnetons per cell
# Uncorrected energy = -2.044 eV per atom
# Uncorrected formation energy = 2.04 eV/atom
# Offset from the most stable computed form = 1.8590 eV per atom

# LiRu2Cl (GGA-PBE, optimized geometry)
data_LiRu2Cl
_chemical_formula_sum 'Li4 Ru8 Cl4'
_space_group_name_H-M_alt 'F -4 3 m'
_space_group_IT_number 216
_space_group_name_Hall 'F -4 2 3'
_cell_length_a 6.135
_cell_length_b 6.135
_cell_length_c 6.135
_cell_angle_alpha 90.00
_cell_angle_beta 90.00
_cell_angle_gamma 90.00
loop_
_atom_site_label
_atom_site_type_symbol
_atom_site_fract_x
_atom_site_fract_y
_atom_site_fract_z
_atom_site_occupancy
Li1 Li 0.000 0.000 0.000 1
Ru1 Ru 0.000 0.000 0.500 1
Ru2 Ru 0.250 0.250 0.750 1
Cl1 Cl 0.250 0.250 0.250 1
# Magnetic moment = 0.00 Bohr magnetons per cell
# Uncorrected energy = -5.028 eV per atom
# Uncorrected formation energy = 0.55 eV/atom
# Offset from the most stable computed form = 0.6073 eV per atom

# La9CeNd4 (GGA-PBE, optimized geometry)
data_La9CeNd4
_chemical_formula_sum 'La18 Ce2 Nd8'
_space_group_name_H-M_alt 'P 63/m m c'
_space_group_IT_number 194
_space_group_name_Hall '-P 6c 2c'
_cell_length_a 10.1282
_cell_length_b 10.1282
_cell_length_c 11.4143
_cell_angle_alpha 90.00
_cell_angle_beta 90.00
_cell_angle_gamma 120.00
loop_
_atom_site_label
_atom_site_type_symbol
_atom_site_fract_x
_atom_site_fract_y
_atom_site_fract_z
_atom_site_occupancy
La1 La 0.0732 0.5366 0.2500 1
La2 La 0.2093 0.4187 0.5428 1
Ce1 Ce 0.3333 0.6667 0.7500 1
Nd1 Nd 0.0000 0.0000 0.0000 1
Nd2 Nd 0.1142 0.2284 0.2500 1
# Magnetic moment = 0.00 Bohr magnetons per cell
# Uncorrected energy = -4.822 eV per atom
# Calculated formation energy = 0.132 eV per atom

Please write out number 7 again, unchanged.
# DyHoHg4 (GGA-PBE, optimized geometry)
data_DyHoHg4
_chemical_formula_sum 'Dy2 Ho2 Hg8'
_space_group_name_H-M_alt 'C 1 2/m 1'
_space_group_IT_number 12
_cell_length_a 11.855
_cell_length_b 3.611
_cell_length_c 7.275
_cell_angle_alpha 90.00
_cell_angle_beta 107.91
_cell_angle_gamma 90.00
loop_
_space_group_symop_operation_xyz
'x,y,z'
'-x,-y,-z'
'-x,y,-z'
'x,-y,z'
'x+1/2,y+1/2,z'
'-x+1/2,-y+1/2,-z'
'-x+1/2,y+1/2,-z'
'x+1/2,-y+1/2,z'
loop_
_atom_site_label
_atom_site_type_symbol
_atom_site_fract_x
_atom_site_fract_y
_atom_site_fract_z
_atom_site_occupancy
Dy1 Dy 0.000 0.000 0.000 1
Ho1 Ho 0.000 0.000 0.500 1
Hg1 Hg 0.167 0.500 0.335 1
Hg2 Hg 0.167 0.500 0.833 1
# Magnetic moment = 0.33 Bohr magnetons per cell
# Uncorrected energy = -2.070 eV per atom
# Offset from the most stable computed form = 0.0382 eV per atom
# Calculated formation energy = -0.339 eV per atom

- Among the records above, which one has the highest magnetic moment?
  Be3CdN